SiPt2W | GGA-PBE | relaxed

```
data_SiPt2W
_cell_length_a 3.6632
_cell_length_b 3.8957
_cell_length_c 4.2236
_cell_angle_alpha 90.00
_cell_angle_beta 90.00
_cell_angle_gamma 90.00
_symmetry_space_group_name_H-M 'P m m m'
_symmetry_Int_Tables_number 47
loop_
_symmetry_equiv_pos_as_xyz
'x,y,z'
'-x,-y,-z'
'-x,-y,z'
'x,y,-z'
'x,-y,-z'
'-x,y,z'
'-x,y,-z'
'x,-y,z'
loop_
_atom_site_label
_atom_site_type_symbol
_atom_site_fract_x
_atom_site_fract_y
_atom_site_fract_z
Si1 Si 0.0000 0.0000 0.0000
Pt1 Pt 0.0000 0.5000 0.5000
Pt2 Pt 0.5000 0.0000 0.5000
W1 W 0.5000 0.5000 0.0000
```

Values from the calculation:
E_form (uncorrected) = -0.11 eV/atom
total magnetic moment = 0.0000 μB/atom

***

YAl2Ag | GGA-PBE | relaxed

```
data_YAl2Ag
_cell_length_a 6.8501
_cell_length_b 6.8501
_cell_length_c 6.8501
_cell_angle_alpha 90.00
_cell_angle_beta 90.00
_cell_angle_gamma 90.00
_symmetry_space_group_name_H-M 'F -4 3 m'
_symmetry_Int_Tables_number 216
_symmetry_space_group_name_Hall 'F -4 2 3'
loop_
_atom_site_label
_atom_site_type_symbol
_atom_site_fract_x
_atom_site_fract_y
_atom_site_fract_z
Y1 Y 0.0000 0.0000 0.0000
Al1 Al 0.0000 0.0000 0.5000
Al2 Al 0.2500 0.2500 0.7500
Ag1 Ag 0.2500 0.2500 0.2500
```

Values from the calculation:
total magnetic moment = 0.0000 μB/atom
energy of formation = -221.7 meV per atom

***

Pm2CdIn | GGA-PBE | relaxed

```
data_Pm2CdIn
_cell_length_a 5.4369
_cell_length_b 5.4369
_cell_length_c 3.8496
_cell_angle_alpha 90.00
_cell_angle_beta 90.00
_cell_angle_gamma 90.00
_symmetry_space_group_name_H-M 'P 4/m m m'
_symmetry_Int_Tables_number 123
_symmetry_space_group_name_Hall '-P 4 2'
loop_
_atom_site_label
_atom_site_type_symbol
_atom_site_fract_x
_atom_site_fract_y
_atom_site_fract_z
Pm1 Pm 0.0000 0.5000 0.0000
Cd1 Cd 0.0000 0.0000 0.5000
In1 In 0.5000 0.5000 0.5000
```

Values from the calculation:
total magnetic moment = 0.0009 μB/atom
energy of formation = -410.4 meV per atom

***

InTePd4 | GGA-PBE | relaxed

```
data_InTePd4
_cell_length_a 4.1951
_cell_length_b 13.8962
_cell_length_c 7.3461
_cell_angle_alpha 90.00
_cell_angle_beta 90.00
_cell_angle_gamma 90.00
_symmetry_space_group_name_H-M 'C m c m'
_symmetry_Int_Tables_number 63
_symmetry_space_group_name_Hall '-C 2c 2'
loop_
_atom_site_label
_atom_site_type_symbol
_atom_site_fract_x
_atom_site_fract_y
_atom_site_fract_z
In1 In 0.0000 0.0211 0.2500
Te1 Te 0.0000 0.2933 0.2500
Pd1 Pd 0.0000 0.1510 0.5408
Pd2 Pd 0.0000 0.3381 0.7500
Pd3 Pd 0.0000 0.5000 0.0000
```

Values from the calculation:
E_form (uncorrected) = -0.36 eV/atom
total magnetic moment = 0.0000 μB/atom

***

SrEuCd | GGA-PBE | relaxed

```
data_SrEuCd
_cell_length_a 7.9606
_cell_length_b 7.9606
_cell_length_c 7.9606
_cell_angle_alpha 90.00
_cell_angle_beta 90.00
_cell_angle_gamma 90.00
_symmetry_space_group_name_H-M 'F -4 3 m'
_symmetry_Int_Tables_number 216
_symmetry_space_group_name_Hall 'F -4 2 3'
loop_
_atom_site_label
_atom_site_type_symbol
_atom_site_fract_x
_atom_site_fract_y
_atom_site_fract_z
Sr1 Sr 0.0000 0.0000 0.0000
Eu1 Eu 0.0000 0.0000 0.5000
Cd1 Cd 0.2500 0.2500 0.7500
```

Values from the calculation:
total magnetic moment = 2.6989 μB/atom
energy of formation = -91.0 meV per atom

***

BiIrO2 | GGA-PBE | relaxed

```
data_BiIrO2
_cell_length_a 4.2479
_cell_length_b 4.2479
_cell_length_c 13.5018
_cell_angle_alpha 90.00
_cell_angle_beta 90.00
_cell_angle_gamma 90.00
_symmetry_space_group_name_H-M 'I -4 2 d'
_symmetry_Int_Tables_number 122
_symmetry_space_group_name_Hall 'I -4 2bw'
loop_
_atom_site_label
_atom_site_type_symbol
_atom_site_fract_x
_atom_site_fract_y
_atom_site_fract_z
Bi1 Bi 0.0000 0.0000 0.0000
Ir1 Ir 0.0000 0.0000 0.5000
O1 O 0.1770 0.2500 0.6250
```

Values from the calculation:
E_form (uncorrected) = -0.16 eV/atom
total magnetic moment = 0.0000 μB/atom

***

Sr2MgTa | GGA-PBE | relaxed

```
data_Sr2MgTa
_cell_length_a 3.4214
_cell_length_b 3.4214
_cell_length_c 35.6257
_cell_angle_alpha 90.00
_cell_angle_beta 90.00
_cell_angle_gamma 120.00
_symmetry_space_group_name_H-M 'R -3 m'
_symmetry_Int_Tables_number 166
_symmetry_space_group_name_Hall '-R 3 2"'
loop_
_atom_site_label
_atom_site_type_symbol
_atom_site_fract_x
_atom_site_fract_y
_atom_site_fract_z
Sr1 Sr 0.0000 0.0000 0.2429
Mg1 Mg 0.0000 0.0000 0.0000
Ta1 Ta 0.0000 0.0000 0.5000
```

Values from the calculation:
total magnetic moment = 0.0000 μB/atom
energy of formation = 734.1 meV per atom

***

GaSb2PO | GGA-PBE | relaxed

```
data_GaSb2PO
_cell_length_a 5.3348
_cell_length_b 5.3348
_cell_length_c 4.4197
_cell_angle_alpha 90.00
_cell_angle_beta 90.00
_cell_angle_gamma 90.00
_symmetry_space_group_name_H-M 'P 4/m m m'
_symmetry_Int_Tables_number 123
_symmetry_space_group_name_Hall '-P 4 2'
loop_
_atom_site_label
_atom_site_type_symbol
_atom_site_fract_x
_atom_site_fract_y
_atom_site_fract_z
Ga1 Ga 0.0000 0.0000 0.0000
Sb1 Sb 0.0000 0.5000 0.0000
P1 P 0.0000 0.0000 0.5000
O1 O 0.5000 0.5000 0.5000
```

Values from the calculation:
E_form (uncorrected) = 1.05 eV/atom
total magnetic moment = 0.0000 μB/atom

***

Na2CaBiSe | GGA-PBE | relaxed

```
data_Na2CaBiSe
_cell_length_a 6.3043
_cell_length_b 6.3043
_cell_length_c 5.6257
_cell_angle_alpha 90.00
_cell_angle_beta 90.00
_cell_angle_gamma 90.00
_symmetry_space_group_name_H-M 'P 4/m m m'
_symmetry_Int_Tables_number 123
_symmetry_space_group_name_Hall '-P 4 2'
loop_
_atom_site_label
_atom_site_type_symbol
_atom_site_fract_x
_atom_site_fract_y
_atom_site_fract_z
Na1 Na 0.0000 0.5000 0.0000
Ca1 Ca 0.0000 0.0000 0.0000
Bi1 Bi 0.0000 0.0000 0.5000
Se1 Se 0.5000 0.5000 0.5000
```

Values from the calculation:
E_form (uncorrected) = 0.45 eV/atom
total magnetic moment = 0.1379 μB/atom

***

Mg5CdIn2Au2 | GGA-PBE | relaxed

```
data_Mg5CdIn2Au2
_cell_length_a 10.9596
_cell_length_b 10.9596
_cell_length_c 3.7231
_cell_angle_alpha 90.00
_cell_angle_beta 90.00
_cell_angle_gamma 90.00
_symmetry_space_group_name_H-M 'P 4/m b m'
_symmetry_Int_Tables_number 127
_symmetry_space_group_name_Hall '-P 4 2ab'
loop_
_atom_site_label
_atom_site_type_symbol
_atom_site_fract_x
_atom_site_fract_y
_atom_site_fract_z
Mg1 Mg 0.0000 0.5000 0.0000
Mg2 Mg 0.0598 0.2046 0.0000
Cd1 Cd 0.0000 0.0000 0.5000
In1 In 0.1750 0.6750 0.5000
Au1 Au 0.1294 0.3706 0.5000
```

Values from the calculation:
total magnetic moment = 0.0000 μB/atom
energy of formation = -239.7 meV per atom

***

Tb2Nd5ErTh | GGA-PBE | relaxed

```
data_Tb2Nd5ErTh
_cell_length_a 5.4220
_cell_length_b 21.7842
_cell_length_c 10.5956
_cell_angle_alpha 90.00
_cell_angle_beta 90.00
_cell_angle_gamma 90.00
_symmetry_space_group_name_H-M 'C m c m'
_symmetry_Int_Tables_number 63
_symmetry_space_group_name_Hall '-C 2c 2'
loop_
_atom_site_label
_atom_site_type_symbol
_atom_site_fract_x
_atom_site_fract_y
_atom_site_fract_z
Tb1 Tb 0.0000 0.1129 0.0034
Nd1 Nd 0.0000 0.0018 0.7500
Nd2 Nd 0.0000 0.2779 0.5573
Nd3 Nd 0.0000 0.3738 0.2500
Nd4 Nd 0.0000 0.5000 0.0000
Er1 Er 0.0000 0.3979 0.7500
Th1 Th 0.0000 0.2122 0.2500
```

Values from the calculation:
total magnetic moment = 0.0000 μB/atom
energy of formation = 140.3 meV per atom

***

TaMnNi4 | GGA-PBE | relaxed

```
data_TaMnNi4
_cell_length_a 3.9921
_cell_length_b 16.6120
_cell_length_c 4.8744
_cell_angle_alpha 90.00
_cell_angle_beta 90.00
_cell_angle_gamma 90.00
_symmetry_space_group_name_H-M 'C m c m'
_symmetry_Int_Tables_number 63
_symmetry_space_group_name_Hall '-C 2c 2'
loop_
_atom_site_label
_atom_site_type_symbol
_atom_site_fract_x
_atom_site_fract_y
_atom_site_fract_z
Ta1 Ta 0.0000 0.1501 0.2500
Mn1 Mn 0.0000 0.4187 0.2500
Ni1 Ni 0.0000 0.0000 0.0000
Ni2 Ni 0.0000 0.2918 0.0053
Ni3 Ni 0.0000 0.4389 0.7500
```

Values from the calculation:
total magnetic moment = 0.6336 μB/atom
energy of formation = 23.5 meV per atom